# Ce2AgSn, relaxed, DFT PBE
data_Ce2AgSn
_symmetry_space_group_name_H-M 'F m -3 m'
_symmetry_Int_Tables_number 225
_symmetry_space_group_name_Hall '-F 4 2 3'
_cell_length_a 7.620
_cell_length_b 7.620
_cell_length_c 7.620
_cell_angle_alpha 90.00
_cell_angle_beta 90.00
_cell_angle_gamma 90.00
loop_
_atom_site_label
_atom_site_type_symbol
_atom_site_fract_x
_atom_site_fract_y
_atom_site_fract_z
_atom_site_occupancy
Ce1 Ce 0.250 0.250 0.250 1
Ag1 Ag 0.000 0.000 0.000 1
Sn1 Sn 0.000 0.000 0.500 1
# **Magnetization**: 3.0 μB per formula unit
# **ΔH_f (0 K)**: -0.332 eV per atom